Material: Li5Mn4P4O16F
Method: DFT, PBE+U
State: relaxed

**VASP energy**: -6.9746 eV per atom
**Mass density**: 3.1 g cm⁻³
**Spin magnetization**: 20.00 Bohr magnetons per cell

a b c (Å): 8.612 8.612 8.612
angles (deg): 95.18 95.18 145.03
Atoms (fractional coordinates):
1 Li 0.000 0.000 0.000
2 Li 0.066 0.448 0.617
3 Li 0.551 0.934 0.383
4 Li 0.552 0.169 0.617
5 Li 0.831 0.449 0.383
6 Mn 0.319 0.295 0.721
7 Mn 0.402 0.681 0.976
8 Mn 0.574 0.598 0.279
9 Mn 0.705 0.426 0.024
10 P 0.098 0.766 0.795
11 P 0.234 0.030 0.332
12 P 0.697 0.902 0.668
13 P 0.970 0.303 0.205
14 O 0.197 0.708 0.896
15 O 0.289 0.560 0.200
16 O 0.292 0.188 0.488
17 O 0.304 0.173 0.196
18 O 0.360 0.089 0.800
19 O 0.420 0.038 0.368
20 O 0.440 0.640 0.729
21 O 0.670 0.051 0.632
22 O 0.700 0.803 0.512
23 O 0.812 0.300 0.104
24 O 0.827 0.023 0.131
25 O 0.892 0.696 0.869
26 O 0.911 0.711 0.271
27 O 0.949 0.580 0.618
28 O 0.962 0.330 0.382
29 O 0.977 0.108 0.804
30 F 0.500 0.500 0.000



Material: Li3MnP2O6F4
Method: DFT, PBE+U
State: relaxed

**VASP energy**: -6.2624 eV per atom
**Mass density**: 2.7 g cm⁻³
**Spin magnetization**: 8.00 Bohr magnetons per cell

a b c (Å): 6.454 7.460 7.794
angles (deg): 90.00 91.07 90.00
Atoms (fractional coordinates):
1 Li 0.000 0.000 0.000
2 Li 0.000 0.500 0.500
3 Li 0.241 0.238 0.678
4 Li 0.241 0.262 0.178
5 Li 0.759 0.738 0.822
6 Li 0.759 0.762 0.322
7 Mn 0.500 0.000 0.000
8 Mn 0.500 0.500 0.500
9 P 0.248 0.661 0.857
10 P 0.248 0.839 0.357
11 P 0.752 0.161 0.643
12 P 0.752 0.339 0.143
13 O 0.051 0.735 0.376
14 O 0.051 0.765 0.876
15 O 0.264 0.541 0.699
16 O 0.264 0.959 0.199
17 O 0.449 0.726 0.380
18 O 0.449 0.774 0.880
19 O 0.551 0.226 0.120
20 O 0.551 0.274 0.620
21 O 0.736 0.041 0.801
22 O 0.736 0.459 0.301
23 O 0.949 0.235 0.124
24 O 0.949 0.265 0.624
25 F 0.262 0.525 0.016
26 F 0.262 0.975 0.516
27 F 0.267 0.115 0.892
28 F 0.267 0.385 0.392
29 F 0.733 0.615 0.608
30 F 0.733 0.885 0.108
31 F 0.738 0.025 0.484
32 F 0.738 0.475 0.984



Material: Li4Mn3P3O12F
Method: DFT, PBE+U
State: relaxed

**VASP energy**: -6.9079 eV per atom
**Mass density**: 2.7 g cm⁻³
**Spin magnetization**: 30.00 Bohr magnetons per cell

a b c (Å): 8.514 8.514 8.514
angles (deg): 90.00 90.00 90.00
Atoms (fractional coordinates):
1 Li 0.144 0.144 0.144
2 Li 0.144 0.856 0.856
3 Li 0.356 0.356 0.644
4 Li 0.356 0.644 0.356
5 Li 0.644 0.356 0.356
6 Li 0.644 0.644 0.644
7 Li 0.856 0.144 0.856
8 Li 0.856 0.856 0.144
9 Mn 0.000 0.250 0.500
10 Mn 0.000 0.750 0.500
11 Mn 0.250 0.500 0.000
12 Mn 0.500 0.000 0.250
13 Mn 0.500 0.000 0.750
14 Mn 0.750 0.500 0.000
15 P 0.000 0.500 0.250
16 P 0.000 0.500 0.750
17 P 0.250 0.000 0.500
18 P 0.500 0.250 0.000
19 P 0.500 0.750 0.000
20 P 0.750 0.000 0.500
21 O 0.097 0.383 0.149
22 O 0.097 0.617 0.851
23 O 0.117 0.403 0.649
24 O 0.117 0.597 0.351
25 O 0.149 0.097 0.383
26 O 0.149 0.903 0.617
27 O 0.351 0.117 0.597
28 O 0.351 0.883 0.403
29 O 0.383 0.149 0.097
30 O 0.383 0.851 0.903
31 O 0.403 0.351 0.883
32 O 0.403 0.649 0.117
33 O 0.597 0.351 0.117
34 O 0.597 0.649 0.883
35 O 0.617 0.149 0.903
36 O 0.617 0.851 0.097
37 O 0.649 0.117 0.403
38 O 0.649 0.883 0.597
39 O 0.851 0.097 0.617
40 O 0.851 0.903 0.383
41 O 0.883 0.403 0.351
42 O 0.883 0.597 0.649
43 O 0.903 0.383 0.851
44 O 0.903 0.617 0.149
45 F 0.000 0.000 0.000
46 F 0.500 0.500 0.500



Material: LiMnVP2O8F2
Method: DFT, PBE+U
State: relaxed

**VASP energy**: -6.9766 eV per atom
**Relative energy among the computed polymorphs**: 0.00 eV per formula unit
**Mass density**: 3.1 g cm⁻³
**Spin magnetization**: 5.00 Bohr magnetons per cell

a b c (Å): 5.174 5.276 7.381
angles (deg): 108.90 104.70 96.68
Atoms (fractional coordinates):
1 Li 0.000 0.000 0.000
2 Mn 0.591 0.941 0.339
3 V 0.082 0.438 0.829
4 P 0.523 0.561 0.594
5 P 0.639 0.324 0.078
6 O 0.326 0.242 0.968
7 O 0.353 0.574 0.743
8 O 0.448 0.270 0.435
9 O 0.448 0.776 0.503
10 O 0.728 0.106 0.168
11 O 0.731 0.618 0.232
12 O 0.803 0.291 0.923
13 O 0.829 0.649 0.729
14 F 0.202 0.756 0.081
15 F 0.960 0.131 0.588



Material: LiMnVP2O8F2
Method: DFT, PBE+U
State: relaxed

**VASP energy**: -6.7580 eV per atom
**Relative energy among the computed polymorphs**: 3.28 eV per formula unit
**Mass density**: 2.5 g cm⁻³
**Spin magnetization**: 7.00 Bohr magnetons per cell

a b c (Å): 5.633 5.633 8.245
angles (deg): 77.66 71.04 64.75
Atoms (fractional coordinates):
1 Li 0.000 0.000 0.000
2 Mn 0.437 0.894 0.160
3 V 0.980 0.620 0.741
4 P 0.510 0.439 0.937
5 P 0.862 0.803 0.392
6 O 0.020 0.945 0.250
7 O 0.360 0.527 0.651
8 O 0.362 0.367 0.821
9 O 0.389 0.735 0.953
10 O 0.454 0.265 0.099
11 O 0.622 0.796 0.352
12 O 0.803 0.881 0.574
13 O 0.820 0.344 0.845
14 F 0.069 0.500 0.409
15 F 0.846 0.797 0.951



Material: LiMnSO4F
Method: DFT, PBE+U
State: relaxed

**VASP energy**: -6.3274 eV per atom
**Mass density**: 2.9 g cm⁻³
**Spin magnetization**: 10.00 Bohr magnetons per cell

a b c (Å): 5.268 5.676 7.581
angles (deg): 106.93 108.33 96.96
Atoms (fractional coordinates):
1 Li 0.235 0.373 0.199
2 Li 0.765 0.627 0.801
3 Mn 0.500 0.000 0.000
4 Mn 0.500 0.000 0.500
5 S 0.175 0.365 0.757
6 S 0.825 0.635 0.243
7 O 0.096 0.757 0.405
8 O 0.171 0.635 0.852
9 O 0.222 0.241 0.910
10 O 0.400 0.351 0.676
11 O 0.600 0.649 0.324
12 O 0.778 0.759 0.090
13 O 0.829 0.365 0.148
14 O 0.904 0.243 0.595
15 F 0.378 0.100 0.245
16 F 0.622 0.900 0.755